[1]
5
Lattice="-2.513 2.513 6.097 2.513 -2.513 6.097 2.513 2.513 -6.097" Properties=species:S:1:pos:R:3 comment="Y2Cd2Bi (PBE, optimized geometry)" relative_energy_ev_per_atom=0.359 energy_ev_per_atom=-3.727 delta_e_f_ev_per_atom=0.001 pbc="T T T"
Y 2.513 0.000 3.048
Y 0.000 2.513 3.048
Cd 0.000 0.000 1.315
Cd 0.000 0.000 10.878
Bi 0.000 0.000 6.097

[2]
8
Lattice="-3.674 3.674 2.867 3.674 -3.674 2.867 3.674 3.674 -2.867" Properties=species:S:1:pos:R:3 comment="ZrTaTi2 (PBE, optimized geometry)" energy_ev_per_atom=-8.515 delta_e_f_ev_per_atom=0.533 pbc="T T T"
Zr 0.000 0.000 0.000
Zr 0.000 3.674 1.433
Ta 3.674 0.000 1.433
Ta 0.000 0.000 2.867
Ti 1.837 -1.768 2.150
Ti 1.906 1.837 0.717
Ti 1.837 5.443 -0.717
Ti 1.768 1.837 3.583

[3]
5
Lattice="3.967 0.000 0.000 0.000 3.967 0.000 0.000 0.000 4.042" Properties=species:S:1:pos:R:3 comment="Mn2NiSbN (PBE, optimized geometry)" energy_ev_per_atom=-7.385 raw_formation_energy_ev_per_atom=-0.0712 pbc="T T T"
Mn 0.000 1.983 0.000
Mn 1.983 0.000 0.000
Ni 0.000 0.000 2.021
Sb 1.983 1.983 2.021
N 0.000 0.000 0.000

[4]
16
Lattice="6.203 -6.386 0.000 6.203 6.386 0.000 -6.099 0.000 6.270" Properties=species:S:1:pos:R:3 comment="K2PrTlSe4 (PBE, optimized geometry)" energy_ev_per_atom=-4.020 raw_formation_energy_ev_per_atom=-1.1105 pbc="T T T"
K 0.000 0.000 0.000
K -3.049 0.000 3.135
K 3.102 3.193 0.000
K 0.052 -3.193 3.135
Pr 0.052 3.193 3.135
Pr 3.102 -3.193 0.000
Tl 6.203 0.000 0.000
Tl 3.154 0.000 3.135
Se 0.228 3.112 6.124
Se 3.031 3.112 3.280
Se 0.305 0.125 3.302
Se 3.354 -0.125 0.168
Se 2.954 0.125 6.102
Se 6.003 -0.125 2.967
Se 3.277 -3.112 2.989
Se 6.080 -3.112 0.146

[5]
6
Lattice="3.297 0.000 0.000 0.000 3.297 0.000 0.000 0.000 7.237" Properties=species:S:1:pos:R:3 comment="HfSiO (PBE, optimized geometry)" energy_ev_per_atom=-8.499 raw_formation_energy_ev_per_atom=-1.7205 pbc="T T T"
Hf 0.824 0.824 1.396
Hf 2.473 2.473 5.842
Si 0.824 2.473 3.619
Si 2.473 0.824 3.619
O 0.824 0.824 6.454
O 2.473 2.473 0.783

[6]
19
Lattice="6.533 3.772 7.412 -6.533 3.772 7.412 0.000 -7.544 7.412" Properties=species:S:1:pos:R:3 comment="K12Na6In (PBE, optimized geometry)" energy_ev_per_atom=-1.227 delta_e_f_ev_per_atom=0.027 pbc="T T T"
K 0.000 -3.105 5.986
K -2.689 1.552 5.986
K -2.241 -1.294 9.390
K -2.689 -1.552 16.251
K 0.000 -2.588 12.847
K -2.241 1.294 12.847
K 2.241 -1.294 9.390
K 0.000 2.588 9.390
K 2.689 1.552 5.986
K 2.241 1.294 12.847
K 2.689 -1.552 16.251
K 0.000 3.105 16.251
Na -4.630 -2.673 12.412
Na 0.000 -5.346 9.825
Na -4.630 2.673 9.825
Na 4.630 -2.673 12.412
Na 0.000 5.346 12.412
Na 4.630 2.673 9.825
In 0.000 0.000 0.000

[7]
6
Lattice="0.000 3.877 3.877 3.877 0.000 3.877 3.877 3.877 0.000" Properties=species:S:1:pos:R:3 comment="LaHoRe4 (PBE, optimized geometry)" energy_ev_per_atom=-9.874 delta_e_f_ev_per_atom=0.009 pbc="T T T"
La 0.000 0.000 0.000
Ho 5.815 5.815 5.815
Re 2.908 2.908 2.908
Re 4.845 4.845 2.908
Re 4.845 2.908 4.845
Re 2.908 4.845 4.845

[8]
4
Lattice="2.432 1.404 5.728 -2.432 1.404 5.728 0.000 -2.808 5.728" Properties=species:S:1:pos:R:3 comment="SrTl2Au (PBE, optimized geometry)" energy_ev_per_atom=-2.725 delta_e_f_ev_per_atom=-0.302 pbc="T T T"
Sr 0.000 0.000 0.000
Tl 0.000 0.000 3.835
Tl 0.000 0.000 13.349
Au 0.000 0.000 8.592